Record 1
Density functional theory data (PBE-GGA) for crystalline CeZnSi2 at its relaxed geometry.

Values from the calculation:
* raw total energy: -0.17329 hartree per atom
* density of states at the Fermi level: 1.266 states/eV per atom
* calculated density: 5.3 Mg/m³
* formation energy from raw total energies: -0.81 eV per formula unit

abc: 3.856 4.884 4.884
angles: 116.59 90.00 90.00
Last column: magnetic moment on the atom in μB.
Fractional positions:
Ce 0.000 0.054 0.946  0.40
Si 0.500 0.554 0.946  0.00
Si 0.500 0.054 0.446  0.00
Zn 0.500 0.554 0.446  0.00

Record 2
Density functional theory data (PBE-GGA) for crystalline Ce3ZnSi2 at its relaxed geometry.

Values from the calculation:
* raw total energy: -0.20167 hartree per atom
* density of states at the Fermi level: 2.063 states/eV per atom
* calculated density: 6.8 Mg/m³
* formation energy from raw total energies: -3.00 eV per formula unit

abc: 4.125 10.510 12.174
angles: 90.00 90.00 90.00
Last column: magnetic moment on the atom in μB.
Fractional positions:
Zn 0.250 0.137 0.126  0.01
Zn 0.750 0.863 0.874  0.01
Zn 0.750 0.637 0.374  0.01
Zn 0.250 0.363 0.626  0.01
Si 0.250 0.015 0.299  -0.01
Si 0.250 0.485 0.799  -0.01
Si 0.250 0.804 0.970  -0.01
Si 0.750 0.515 0.201  -0.01
Si 0.750 0.304 0.530  -0.01
Si 0.750 0.985 0.701  -0.01
Si 0.750 0.196 0.030  -0.01
Si 0.250 0.696 0.470  -0.01
Ce 0.250 0.084 0.869  0.52
Ce 0.250 0.416 0.369  0.52
Ce 0.750 0.584 0.631  0.52
Ce 0.750 0.235 0.292  0.56
Ce 0.750 0.910 0.460  0.58
Ce 0.750 0.916 0.131  0.52
Ce 0.250 0.735 0.208  0.56
Ce 0.250 0.765 0.708  0.56
Ce 0.250 0.410 0.040  0.58
Ce 0.750 0.590 0.960  0.58
Ce 0.750 0.265 0.792  0.56
Ce 0.250 0.090 0.540  0.58

Record 3
Density functional theory data (PBE-GGA) for crystalline Ce2ZnSi3 at its relaxed geometry.

Values from the calculation:
* raw total energy: -0.20308 hartree per atom
* density of states at the Fermi level: 1.522 states/eV per atom
* calculated density: 5.9 Mg/m³
* formation energy from raw total energies: -3.75 eV per formula unit

abc: 4.181 4.121 7.047
angles: 90.00 90.00 90.00
Last column: magnetic moment on the atom in μB.
Fractional positions:
Si 0.500 0.500 0.669  0.00
Si 0.500 0.000 0.165  0.00
Si 0.500 0.000 0.833  0.00
Zn 0.500 0.500 0.331  0.01
Ce 0.000 0.500 0.991  0.41
Ce 0.000 0.000 0.511  0.53

Record 4
Density functional theory data (PBE-GGA) for crystalline Ce2Zn5Si at its relaxed geometry.

Values from the calculation:
* raw total energy: -0.12299 hartree per atom
* density of states at the Fermi level: 1.271 states/eV per atom
* calculated density: 6.9 Mg/m³
* formation energy from raw total energies: -3.11 eV per formula unit

abc: 4.417 8.264 8.754
angles: 90.00 90.00 105.50
Last column: magnetic moment on the atom in μB.
Fractional positions:
Zn 0.594 0.188 0.750  0.00
Zn 0.186 0.372 0.605  0.00
Zn 0.186 0.372 0.895  0.00
Zn 0.349 0.699 0.977  0.00
Zn 0.349 0.699 0.523  0.00
Zn 0.406 0.812 0.250  0.00
Zn 0.814 0.628 0.395  0.00
Zn 0.651 0.301 0.023  0.00
Zn 0.814 0.628 0.105  0.00
Zn 0.651 0.301 0.477  0.00
Ce 0.000 0.000 0.500  0.69
Ce 0.205 0.411 0.250  0.18
Ce 0.000 0.000 0.000  0.69
Ce 0.795 0.589 0.750  0.18
Si 0.559 0.118 0.250  -0.01
Si 0.441 0.882 0.750  -0.01

Q: Which of these has the lowest formation energy from raw total energies?
A: Ce2ZnSi3

Q: Which of these has the lowest raw total energy?
A: Ce2ZnSi3

Q: Which of these has the lowest calculated density?
A: CeZnSi2